# SrCaCd (PBE, optimized geometry)
# **SG**: F-43m, No. 216
# **ΔE to the lowest computed polymorph**: 565.6 meV per atom
# **Electronic total energy**: -1.19 eV/atom
# **ΔH_f (0 K)**: 0.3405 eV/atom
# **Size of the total moment**: 0.000 μB/atom
data_SrCaCd
_chemical_formula_sum 'Sr1 Ca1 Cd1'
_symmetry_space_group_name_H-M 'P 1'
_symmetry_Int_Tables_number 1
_cell_length_a 5.6894
_cell_length_b 5.6894
_cell_length_c 5.6894
_cell_angle_alpha 60.00
_cell_angle_beta 60.00
_cell_angle_gamma 60.00
loop_
_symmetry_equiv_pos_as_xyz
'x,y,z'
loop_
_atom_site_label
_atom_site_fract_x
_atom_site_fract_y
_atom_site_fract_z
Sr1 0.7500 0.7500 0.7500
Ca1 0.0000 0.0000 0.0000
Cd1 0.5000 0.5000 0.5000

***

# Sr2CaCd6 (PBE, optimized geometry)
# **SG**: P6/mmm, No. 191
# **Electronic total energy**: -1.54 eV/atom
# **ΔH_f (0 K)**: -0.3289 eV/atom
# **Size of the total moment**: 0.000 μB/atom
data_Sr2CaCd6
_chemical_formula_sum 'Sr2 Ca1 Cd6'
_symmetry_space_group_name_H-M 'P 1'
_symmetry_Int_Tables_number 1
_cell_length_a 3.8810
_cell_length_b 8.7954
_cell_length_c 8.7954
_cell_angle_alpha 120.00
_cell_angle_beta 90.00
_cell_angle_gamma 90.00
loop_
_symmetry_equiv_pos_as_xyz
'x,y,z'
loop_
_atom_site_label
_atom_site_fract_x
_atom_site_fract_y
_atom_site_fract_z
Sr1 0.0000 0.3333 0.6667
Sr2 0.0000 0.6667 0.3333
Ca1 0.0000 0.0000 0.0000
Cd1 0.5000 0.3301 0.3301
Cd2 0.5000 0.6699 0.6699
Cd3 0.5000 0.0000 0.6699
Cd4 0.5000 0.6699 0.0000
Cd5 0.5000 0.3301 0.0000
Cd6 0.5000 0.0000 0.3301

***

# Sr4CaCd (PBE, optimized geometry)
# **SG**: F-43m, No. 216
# **ΔE to the lowest computed polymorph**: 370.4 meV per atom
# **Electronic total energy**: -1.34 eV/atom
# **ΔH_f (0 K)**: 0.2674 eV/atom
# **Size of the total moment**: 0.000 μB/atom
data_Sr4CaCd
_chemical_formula_sum 'Sr4 Ca1 Cd1'
_symmetry_space_group_name_H-M 'P 1'
_symmetry_Int_Tables_number 1
_cell_length_a 7.5285
_cell_length_b 7.5285
_cell_length_c 7.5285
_cell_angle_alpha 60.00
_cell_angle_beta 60.00
_cell_angle_gamma 60.00
loop_
_symmetry_equiv_pos_as_xyz
'x,y,z'
loop_
_atom_site_label
_atom_site_fract_x
_atom_site_fract_y
_atom_site_fract_z
Sr1 0.8751 0.3750 0.3750
Sr2 0.3750 0.3750 0.8751
Sr3 0.3750 0.8751 0.3750
Sr4 0.3750 0.3750 0.3750
Ca1 0.7500 0.7500 0.7500
Cd1 0.0000 0.0000 0.0000

***

# SrCaCd2 (PBE, optimized geometry)
# **SG**: P4mm, No. 99
# **Electronic total energy**: -1.59 eV/atom
# **ΔH_f (0 K)**: -0.2121 eV/atom
# **Size of the total moment**: 0.000 μB/atom
data_SrCaCd2
_chemical_formula_sum 'Sr1 Ca1 Cd2'
_symmetry_space_group_name_H-M 'P 1'
_symmetry_Int_Tables_number 1
_cell_length_a 3.9718
_cell_length_b 3.9719
_cell_length_c 8.3114
_cell_angle_alpha 90.00
_cell_angle_beta 90.00
_cell_angle_gamma 90.02
loop_
_symmetry_equiv_pos_as_xyz
'x,y,z'
loop_
_atom_site_label
_atom_site_fract_x
_atom_site_fract_y
_atom_site_fract_z
Sr1 0.0000 0.0000 0.4502
Ca1 0.5000 0.5000 0.8147
Cd1 0.0000 0.0000 0.0230
Cd2 0.5000 0.5000 0.2122

***

# SrCa2Cd (PBE, optimized geometry)
# **SG**: Pmm2, No. 25
# **Electronic total energy**: -1.82 eV/atom
# **ΔH_f (0 K)**: -0.1728 eV/atom
# **Size of the total moment**: 0.000 μB/atom
data_SrCa2Cd
_chemical_formula_sum 'Sr1 Ca2 Cd1'
_symmetry_space_group_name_H-M 'P 1'
_symmetry_Int_Tables_number 1
_cell_length_a 3.9303
_cell_length_b 3.9890
_cell_length_c 10.4818
_cell_angle_alpha 67.61
_cell_angle_beta 90.00
_cell_angle_gamma 90.00
loop_
_symmetry_equiv_pos_as_xyz
'x,y,z'
loop_
_atom_site_label
_atom_site_fract_x
_atom_site_fract_y
_atom_site_fract_z
Sr1 0.5000 0.8001 0.7002
Ca1 0.0000 0.9835 0.0165
Ca2 0.5000 0.1990 0.3008
Cd1 0.0000 0.5174 0.4825

***

# SrCa4Cd (PBE, optimized geometry)
# **SG**: P4/mmm, No. 123
# **ΔE to the lowest computed polymorph**: 0.0 meV per atom
# **Electronic total energy**: -1.88 eV/atom
# **ΔH_f (0 K)**: -0.1084 eV/atom
# **Size of the total moment**: 0.000 μB/atom
data_SrCa4Cd
_chemical_formula_sum 'Sr1 Ca4 Cd1'
_symmetry_space_group_name_H-M 'P 1'
_symmetry_Int_Tables_number 1
_cell_length_a 3.9357
_cell_length_b 3.9357
_cell_length_c 15.2436
_cell_angle_alpha 90.00
_cell_angle_beta 90.00
_cell_angle_gamma 90.00
loop_
_symmetry_equiv_pos_as_xyz
'x,y,z'
loop_
_atom_site_label
_atom_site_fract_x
_atom_site_fract_y
_atom_site_fract_z
Sr1 0.0000 0.0000 0.0000
Ca1 0.5000 0.5000 0.1979
Ca2 0.0000 0.0000 0.6205
Ca3 0.0000 0.0000 0.3795
Ca4 0.5000 0.5000 0.8021
Cd1 0.5000 0.5000 0.5000

***

# SrCa2Cd (PBE, optimized geometry)
# **SG**: R-3m, No. 166
# **Electronic total energy**: -1.73 eV/atom
# **ΔH_f (0 K)**: -0.0815 eV/atom
# **Size of the total moment**: 0.000 μB/atom
data_SrCa2Cd
_chemical_formula_sum 'Sr1 Ca2 Cd1'
_symmetry_space_group_name_H-M 'P 1'
_symmetry_Int_Tables_number 1
_cell_length_a 11.6334
_cell_length_b 11.6334
_cell_length_c 11.6334
_cell_angle_alpha 19.94
_cell_angle_beta 19.94
_cell_angle_gamma 19.94
loop_
_symmetry_equiv_pos_as_xyz
'x,y,z'
loop_
_atom_site_label
_atom_site_fract_x
_atom_site_fract_y
_atom_site_fract_z
Sr1 0.7500 0.7500 0.7500
Ca1 0.9837 0.9837 0.9837
Ca2 0.5163 0.5163 0.5163
Cd1 0.2500 0.2500 0.2500

***

# SrCa5Cd3 (PBE, optimized geometry)
# **SG**: P6_3/mcm, No. 193
# **Electronic total energy**: -1.81 eV/atom
# **ΔH_f (0 K)**: -0.2027 eV/atom
# **Size of the total moment**: 0.000 μB/atom
data_SrCa5Cd3
_chemical_formula_sum 'Sr2 Ca10 Cd6'
_symmetry_space_group_name_H-M 'P 1'
_symmetry_Int_Tables_number 1
_cell_length_a 7.1450
_cell_length_b 9.8427
_cell_length_c 9.8418
_cell_angle_alpha 120.00
_cell_angle_beta 90.00
_cell_angle_gamma 90.00
loop_
_symmetry_equiv_pos_as_xyz
'x,y,z'
loop_
_atom_site_label
_atom_site_fract_x
_atom_site_fract_y
_atom_site_fract_z
Sr1 0.0000 0.0000 0.0000
Sr2 0.5000 0.0000 0.0000
Ca1 0.0000 0.6667 0.3334
Ca2 0.5000 0.3333 0.6666
Ca3 0.0000 0.3333 0.6666
Ca4 0.5000 0.6667 0.3334
Ca5 0.7500 0.6612 0.6612
Ca6 0.7500 0.0000 0.3388
Ca7 0.7500 0.3388 0.0000
Ca8 0.2500 0.3388 0.3388
Ca9 0.2500 0.0000 0.6612
Ca10 0.2500 0.6612 0.0000
Cd1 0.7500 0.3334 0.3335
Cd2 0.7500 0.0000 0.6665
Cd3 0.7500 0.6665 0.0000
Cd4 0.2500 0.6666 0.6665
Cd5 0.2500 0.0000 0.3335
Cd6 0.2500 0.3335 0.0000